A relaxed CaCo3 crystal. Source: Alexandria via LeMat-Bulk, functional GGA-PBEsol.

Computed properties:
Its energy of formation is 0.5512 eV/atom. The space-group type is Fm-3m.

Cell and atoms, written as POSCAR:
```
CaCo3
1.0
-2.394 1.835 -2.985
-4.075 -1.103 -0.427
-3.062 2.720 1.111
Co Ca
3 1
Cartesian
-7.148 2.589 -1.725 Co
-2.383 0.863 -0.575 Co
-4.765 1.726 -1.150 Co
0.000 0.000 0.000 Ca
```

A relaxed CaCo2 crystal. Source: Alexandria via LeMat-Bulk, functional GGA-PBEsol.

Computed properties:
Its energy of formation is 0.2217 eV/atom. The space-group type is P-3m1.

Cell and atoms, written as POSCAR:
```
CaCo2
1.0
-2.148 -2.236 -2.237
1.245 -3.476 -0.993
-4.054 -3.583 7.483
Co Ca
4 2
Cartesian
-2.412 -2.950 3.637 Co
-1.996 -4.223 1.234 Co
-2.960 -5.073 3.018 Co
-2.544 -6.345 0.616 Co
-0.934 -1.646 0.907 Ca
-4.022 -7.649 3.346 Ca
```

A relaxed CaCo2 crystal. Source: Alexandria via LeMat-Bulk, functional GGA-PBEsol.

Computed properties:
Its energy of formation is 0.3006 eV/atom. The space-group type is I4_1/amd.

Cell and atoms, written as POSCAR:
```
CaCo2
1.0
3.971 0.000 0.000
0.000 3.971 0.000
-1.986 -1.986 6.485
Co Ca
4 2
Cartesian
0.000 0.000 5.387 Co
1.986 1.986 1.098 Co
1.986 0.000 4.341 Co
1.986 0.000 2.144 Co
0.000 0.000 0.000 Ca
0.000 1.986 3.243 Ca
```

A relaxed CaCo2 crystal. Source: Alexandria via LeMat-Bulk, functional GGA-PBEsol.

Computed properties:
Its energy of formation is 0.2232 eV/atom. The space-group type is P6/mmm.

Cell and atoms, written as POSCAR:
```
CaCo2
1.0
-1.711 -3.060 1.311
0.974 0.198 -3.609
3.860 -1.754 0.945
Co Ca
2 1
Cartesian
-0.816 -1.974 -0.329 Co
0.079 -0.888 -1.969 Co
1.930 -0.877 0.473 Ca
```

A relaxed CaCr2Co crystal. Source: Alexandria via LeMat-Bulk, functional GGA-PBEsol.

Computed properties:
Its energy of formation is 0.5888 eV/atom. The space-group type is C2/m.

Cell and atoms, written as POSCAR:
```
CaCr2Co
1.0
-2.468 0.276 -1.396
-0.858 -2.516 3.926
-0.418 4.668 1.663
Co Cr Ca
1 2 1
Cartesian
-1.234 0.138 -0.698 Co
-0.949 -0.414 1.596 Cr
-2.795 2.843 2.597 Cr
-0.209 2.334 0.832 Ca
```

A relaxed CaCr2Co crystal. Source: Alexandria via LeMat-Bulk, functional GGA-PBEsol.

Computed properties:
Its energy of formation is 0.6275 eV/atom. The space-group type is Cm.

Cell and atoms, written as POSCAR:
```
CaCr2Co
1.0
-0.747 -0.830 -2.561
0.174 -3.557 2.627
-5.095 1.996 0.838
Ca Cr Co
1 2 1
Cartesian
-2.652 -2.943 1.728 Ca
-5.633 -2.357 0.882 Cr
-4.535 -0.606 1.518 Cr
-1.263 -1.850 -0.556 Co
```

A relaxed CaCr3Co crystal. Source: Alexandria via LeMat-Bulk, functional GGA-PBEsol.

Computed properties:
Its energy of formation is 1.0799 eV/atom. The space-group type is Pm-3m.

Cell and atoms, written as POSCAR:
```
CaCr3Co
1.0
-2.607 3.501 0.998
-1.010 -1.875 3.939
3.497 2.069 1.881
Ca Cr Co
1 3 1
Cartesian
-0.060 1.847 3.409 Ca
-0.505 -0.938 1.969 Cr
1.749 1.034 0.941 Cr
-1.304 1.750 0.499 Cr
0.000 0.000 0.000 Co
```

A relaxed CaCr2Co crystal. Source: Alexandria via LeMat-Bulk, functional GGA-PBEsol.

Computed properties:
Its energy of formation is 0.6385 eV/atom. The space-group type is Pmmm.

Cell and atoms, written as POSCAR:
```
CaCr2Co
1.0
3.136 0.000 0.000
0.000 3.208 0.000
0.000 0.000 6.459
Cr Co Ca
2 1 1
Cartesian
0.000 0.000 2.273 Cr
0.000 0.000 4.186 Cr
1.568 1.604 3.230 Co
1.568 1.604 0.000 Ca
```